Record 1
SiNi2W | PBE | optimized geometry

Unit cell a=2.712 b=3.663 c=5.089 alpha=90.00 beta=90.00 gamma=90.00
Positions (direct):
Si1 0.000 0.000 0.000
Ni1 0.500 0.500 0.246
Ni2 0.500 0.500 0.754
W1 0.000 0.000 0.500

Properties
The uncorrected energy comes out at -7.59 eV/atom. The value obtained for the energy relative to the elements, uncorrected is -0.427 eV/f.u.



Record 2
Zr2FeCl | PBE | optimized geometry

Unit cell a=5.930 b=5.930 c=5.930 alpha=143.91 beta=143.91 gamma=51.95
Positions (direct):
Zr1 0.000 0.000 0.000
Zr2 0.750 0.250 0.500
Fe1 0.500 0.500 0.000
Cl1 0.250 0.750 0.500

Properties
The uncorrected energy comes out at -6.77 eV/atom. The value obtained for the energy relative to the elements, uncorrected is 0.315 eV/f.u. For the energy above the lowest structure with this stoichiometry, the calculation gives 584.3 meV/atom.